1.
Here is a geometry-optimized LiSbO3 structure from Alexandria via LeMat-Bulk. Energies are from PBE-GGA.

Lattice parameters (Å, degrees): 3.6064 3.6064 3.6064 90.00 90.00 90.00
With the nearest neighbours (Å) after each atom.
Space group Pm-3m (No. 221)
One atom of each set of equivalent atoms:
1 Li 0.0000 0.0000 0.0000 [1 per cell]  6 O 1.80
2 Sb 0.5000 0.5000 0.5000 [1 per cell]  12 O 2.55
3 O 0.0000 0.0000 0.5000 [3 per cell]  2 Li 1.80

Output
Its volume is 9.4 Å³ per atom. The uncorrected formation energy comes out at -0.4032 eV per atom.


2.
Here is a geometry-optimized Pr2GeS structure from Alexandria via LeMat-Bulk. Energies are from PBE-GGA.

Lattice parameters (Å, degrees): 4.1743 4.1743 21.9370 90.00 90.00 120.00
With the nearest neighbours (Å) after each atom.
Space group R3m (No. 160, hexagonal axes)
One atom of each set of equivalent atoms:
1 Pr 0.0000 0.0000 0.0000 [3 per cell]  3 Ge 2.98, 3 S 3.11
2 Pr 0.0000 0.0000 0.1728 [3 per cell]  3 Ge 2.99, 3 S 3.02
3 Ge 0.0000 0.0000 0.5865 [3 per cell]  6 Pr 2.98-2.99
4 S 0.0000 0.0000 0.7562 [3 per cell]  6 Pr 3.02-3.11

Output
Its volume is 27.6 Å³ per atom. The uncorrected formation energy comes out at -1.3019 eV per atom. The relative energy among the computed polymorphs comes out at 66 kJ/mol of formula units.


3.
Here is a geometry-optimized Pu4N structure from Alexandria via LeMat-Bulk. Energies are from PBE-GGA.

Lattice parameters (Å, degrees): 4.8570 4.8570 4.8570 90.00 90.00 90.00
With the nearest neighbours (Å) after each atom.
Space group Pm-3m (No. 221)
One atom of each set of equivalent atoms:
1 Pu 0.0000 0.0000 0.0000 [1 per cell]  12 Pu 3.43
2 Pu 0.0000 0.5000 0.5000 [3 per cell]  2 N 2.43
3 N 0.5000 0.5000 0.5000 [1 per cell]  6 Pu 2.43

Output
Its volume is 22.9 Å³ per atom. The uncorrected formation energy comes out at -0.1932 eV per atom.


4.
Here is a geometry-optimized RbRhO4 structure from Alexandria via LeMat-Bulk. Energies are from PBE-GGA.

Lattice parameters (Å, degrees): 6.1485 7.0976 7.2357 109.59 113.34 94.63
With the nearest neighbours (Å) after each atom.
Space group P-1 (No. 2)
One atom of each set of equivalent atoms:
1 Rb 0.2038 0.2141 0.4030 [2 per cell]  6 O 2.90-3.07
2 Rh 0.4980 0.7563 0.0013 [2 per cell]  2 O 1.75-1.76
3 O 0.1589 0.7177 0.9733 [2 per cell]  1 O 1.40
4 O 0.2084 0.1354 0.7774 [2 per cell]  1 Rh 1.75
5 O 0.3288 0.8185 0.1941 [2 per cell]  1 O 1.40
6 O 0.4045 0.6416 0.7163 [2 per cell]  1 Rh 1.76

Output
Its volume is 22.1 Å³ per atom. The uncorrected formation energy comes out at -0.5385 eV per atom.


5.
Here is a geometry-optimized NaYAlHg structure from Alexandria via LeMat-Bulk. Energies are from PBE-GGA.

Lattice parameters (Å, degrees): 7.2609 7.2609 7.2609 90.00 90.00 90.00
With the nearest neighbours (Å) after each atom.
Space group F-43m (No. 216)
One atom of each set of equivalent atoms:
1 Na 0.0000 0.0000 0.0000 [4 per cell]  4 Al 3.14, 4 Hg 3.14
2 Y 0.0000 0.0000 0.5000 [4 per cell]  4 Hg 3.14, 4 Al 3.14
3 Al 0.2500 0.2500 0.7500 [4 per cell]  4 Y 3.14, 4 Na 3.14
4 Hg 0.2500 0.2500 0.2500 [4 per cell]  4 Na 3.14, 4 Y 3.14

Output
Its volume is 23.9 Å³ per atom. As for the formation energy: -0.190 eV per atom.


6.
Here is a geometry-optimized Pm2Ni4Ge3P structure from Alexandria via LeMat-Bulk. Energies are from PBE-GGA.

Lattice parameters (Å, degrees): 4.1428 4.1428 9.4989 90.00 90.00 90.00
With the nearest neighbours (Å) after each atom.
Space group P-4m2 (No. 115)
One atom of each set of equivalent atoms:
1 Pm 0.0000 0.5000 0.2461 [2 per cell]  6 Ge 3.12-3.15, 2 P 3.12, 9 Ni 3.18-3.42
2 Ni 0.0000 0.0000 0.5000 [1 per cell]  4 Ge 2.41
3 Ni 0.0000 0.5000 0.8861 [2 per cell]  3 Ge 2.34-2.43, 2 P 2.34
4 Ni 0.5000 0.5000 0.5000 [1 per cell]  4 Ge 2.41
5 Ge 0.0000 0.0000 0.0000 [1 per cell]  4 Ni 2.34
6 Ge 0.0000 0.5000 0.6307 [2 per cell]  5 Ni 2.41-2.43
7 P 0.5000 0.5000 0.0000 [1 per cell]  4 Ni 2.34

Output
Its volume is 16.3 Å³ per atom. As for the formation energy: -0.744 eV per atom.